(1)
Entry from Alexandria via LeMat-Bulk: an optimized crystal structure of HoNpH2O6 (PBE).

Total DFT energy (no corrections) ... -7.7346 eV per atom

Cell lengths 5.4467, 5.6292, 5.9189 Å; angles 64.18, 62.65, 56.41 degrees
Fractional coordinates of all 10 atoms:
Ho 0.8162 0.8161 0.5515
H 0.2013 0.9030 0.8137
H 0.4311 0.7293 0.2894
O 0.4007 0.7287 0.8032
O 0.5526 0.2053 0.2727
O 0.9499 0.5421 0.2852
O 0.0797 0.4269 0.8303
O 0.6823 0.0903 0.8178
O 0.2317 0.9036 0.2999
Np 0.3162 0.3162 0.0515


(2)
Entry from Alexandria via LeMat-Bulk: an optimized crystal structure of Cd12Hg5Au2 (PBE).

Calculated formation energy ... -0.52 eV/f.u.

Cell lengths 7.5645, 8.0132, 8.0132 Å; angles 72.09, 76.62, 76.62 degrees
Fractional coordinates of all 19 atoms:
Hg 0.5874 0.3093 0.3093
Hg 0.4126 0.6907 0.6907
Hg 0.5000 0.0000 0.0000
Hg 0.1112 0.3068 0.3068
Hg 0.8888 0.6932 0.6932
Cd 0.2196 0.9146 0.3773
Cd 0.7448 0.4974 0.4974
Cd 0.0627 0.8771 0.8771
Cd 0.3681 0.6409 0.0882
Cd 0.7804 0.6227 0.0854
Cd 0.7804 0.0854 0.6227
Cd 0.9373 0.1229 0.1229
Cd 0.3681 0.0882 0.6409
Cd 0.2552 0.5026 0.5026
Cd 0.2196 0.3773 0.9146
Cd 0.6319 0.9118 0.3591
Cd 0.6319 0.3591 0.9118
Au 0.0000 0.7361 0.2639
Au 0.0000 0.2639 0.7361


(3)
Entry from Alexandria via LeMat-Bulk: an optimized crystal structure of AgGeS2 (PBE).

Formation energy from raw total energies ... -159 meV/atom

Cell lengths 4.5633, 5.0524, 7.8593 Å; angles 90.00, 89.99, 89.99 degrees
Fractional coordinates of all 8 atoms:
S 0.7010 0.6682 0.2156
S 0.2011 0.1682 0.0003
S 0.7012 0.5967 0.7481
S 0.2005 0.0967 0.4679
Ge 0.2011 0.8502 0.2323
Ge 0.7013 0.3501 0.9837
Ag 0.7004 0.3183 0.4685
Ag 0.2013 0.8183 0.7474


(4)
Entry from Alexandria via LeMat-Bulk: an optimized crystal structure of SmPuCu2 (PBE).

Calculated formation energy ... -0.08 eV/f.u.
Relative energy among the computed polymorphs ... 0 meV per atom

Cell lengths 3.4741, 3.4741, 7.1305 Å; angles 90.00, 90.00, 90.00 degrees
Last column: magnetic moment on the atom in μB.
Fractional coordinates of all 4 atoms:
Sm 0.5000 0.5000 0.5000  -0.04
Cu 0.0000 0.0000 0.2515  0.01
Cu 0.0000 0.0000 0.7485  0.01
Pu 0.5000 0.5000 0.0000  5.34


(5)
Entry from Alexandria via LeMat-Bulk: an optimized crystal structure of TaIn2Br (PBE).

Formation energy from raw total energies ... 214 meV/atom
Relative energy among the computed polymorphs ... 93 meV per atom

Cell lengths 9.4914, 9.4914, 9.4914 Å; angles 20.33, 20.33, 20.33 degrees
Fractional coordinates of all 4 atoms:
Ta 0.2500 0.2500 0.2500
In 0.9967 0.9967 0.9967
In 0.5033 0.5033 0.5033
Br 0.7500 0.7500 0.7500


(6)
Entry from Alexandria via LeMat-Bulk: an optimized crystal structure of Zn3ReBr (PBE).

Formation energy from raw total energies ... 857 meV/atom
Relative energy among the computed polymorphs ... 0 meV per atom

Cell lengths 5.0585, 5.0585, 5.0585 Å; angles 90.00, 90.00, 90.00 degrees
Last column: magnetic moment on the atom in μB.
Fractional coordinates of all 5 atoms:
Zn 0.0000 0.5000 0.0000  0.04
Zn 0.5000 0.0000 0.0000  0.03
Zn 0.0000 0.0000 0.5000  0.04
Br 0.5000 0.5000 0.5000  0.16
Re 0.0000 0.0000 0.0000  2.08


(7)
Entry from Alexandria via LeMat-Bulk: an optimized crystal structure of KTaOsO6 (PBE).

Formation energy from raw total energies ... -1873 meV/atom

Cell lengths 7.4137, 7.2428, 7.3472 Å; angles 119.53, 120.30, 90.00 degrees
Last column: magnetic moment on the atom in μB.
Fractional coordinates of all 18 atoms:
K 0.1308 0.3808 0.2616  0.00
K 0.8692 0.6192 0.7384  0.00
Ta 0.0000 0.0000 0.5000  0.01
Ta 0.5000 0.0000 0.5000  0.01
O 0.4543 0.7043 0.9086  0.01
O 0.8108 0.6761 0.2545  0.02
O 0.1892 0.3239 0.7455  0.02
O 0.8108 0.0785 0.2545  0.02
O 0.4438 0.6761 0.2545  0.02
O 0.5562 0.3239 0.7455  0.02
O 0.8160 0.0660 0.6320  0.01
O 0.4438 0.0785 0.2545  0.02
O 0.1840 0.9340 0.3680  0.01
O 0.5562 0.9215 0.7455  0.02
O 0.5457 0.2957 0.0914  0.01
O 0.1892 0.9215 0.7455  0.02
Os 0.5000 0.5000 0.0000  0.22
Os 0.5000 0.0000 0.0000  0.22


(8)
Entry from Alexandria via LeMat-Bulk: an optimized crystal structure of Y2MgGaN (PBE).

Formation energy from raw total energies ... -873 meV/atom

Cell lengths 4.8013, 4.8013, 4.2523 Å; angles 90.00, 90.00, 90.00 degrees
Fractional coordinates of all 5 atoms:
N 0.0000 0.0000 0.0000
Ga 0.5000 0.5000 0.5000
Y 0.0000 0.5000 0.0000
Y 0.5000 0.0000 0.0000
Mg 0.0000 0.0000 0.5000


(9)
Entry from Alexandria via LeMat-Bulk: an optimized crystal structure of Tb4DyTe5 (PBE).

Formation energy from raw total energies ... -1302 meV/atom

Cell lengths 6.1880, 7.5608, 7.5608 Å; angles 80.36, 65.84, 65.84 degrees
Fractional coordinates of all 10 atoms:
Te 0.7036 0.1956 0.3991
Te 0.1026 0.6009 0.1956
Te 0.2983 0.8044 0.6009
Te 0.5015 0.0000 0.0000
Te 0.8992 0.3991 0.8044
Tb 0.4029 0.4015 0.7946
Tb 0.5989 0.5985 0.2054
Tb 0.8044 0.7946 0.5985
Tb 0.1974 0.2054 0.4015
Dy 0.0015 0.0000 0.0000


(10)
Entry from Alexandria via LeMat-Bulk: an optimized crystal structure of MgOs2 (PBE).

Calculated formation energy ... 0.36 eV/f.u.

Cell lengths 2.8399, 2.8399, 6.1069 Å; angles 103.45, 103.45, 90.00 degrees
Fractional coordinates of all 3 atoms:
Os 0.6794 0.6794 0.3588
Os 0.3206 0.3206 0.6412
Mg 0.0000 0.0000 0.0000